[1]
Computed, not measured: CsCoPbCl5 after structural relaxation at the PBE level of DFT.

a = 7.9109 Å, b = 7.9109 Å, c = 10.2891 Å
α = 104.18°, β = 104.18°, γ = 106.73°
Closest atoms and distances in Å follow each position.
Positions (direct):
Cs 0.1503 0.8497 0.7500  5 Cl 3.34-3.51
Cs 0.8497 0.1503 0.2500  5 Cl 3.34-3.51
Co 0.1883 0.8117 0.2500  4 Cl 2.27-2.28
Co 0.8117 0.1883 0.7500  4 Cl 2.27-2.28
Pb 0.5000 0.5000 0.0000  6 Cl 2.80-3.01
Pb 0.5000 0.5000 0.5000  6 Cl 2.80-3.01
Cl 0.0933 0.2601 0.9184  1 Co 2.28
Cl 0.1836 0.6075 0.3721  1 Co 2.27
Cl 0.2601 0.0933 0.4184  1 Co 2.28
Cl 0.3925 0.8164 0.1279  1 Co 2.27
Cl 0.4132 0.5868 0.7500  2 Pb 2.80
Cl 0.5868 0.4132 0.2500  2 Pb 2.80
Cl 0.6075 0.1836 0.8721  1 Co 2.27
Cl 0.7399 0.9067 0.5816  1 Co 2.28
Cl 0.8164 0.3925 0.6279  1 Co 2.27
Cl 0.9067 0.7399 0.0816  1 Co 2.28

Raw total energy, eV per cell: -60.33
Energy relative to the elements, uncorrected, kJ/mol of atoms: -111.75
Mass density, g/cm³: 3.404

***

[2]
Computed, not measured: Cs2CoPbCl after structural relaxation at the PBE level of DFT.

a = 6.9874 Å, b = 6.9874 Å, c = 4.0917 Å
α = 90.00°, β = 90.00°, γ = 90.00°
Closest atoms and distances in Å follow each position.
Positions (direct):
Cs 0.0000 0.5000 0.0000  2 Cl 3.49
Cs 0.5000 0.0000 0.0000  2 Cl 3.49
Co 0.0000 0.0000 0.5000  2 Cl 2.05
Pb 0.5000 0.5000 0.5000  8 Cs 4.05, 2 Pb 4.09
Cl 0.0000 0.0000 0.0000  2 Co 2.05

Raw total energy, eV per cell: -14.10
Energy relative to the elements, uncorrected, kJ/mol of atoms: 5.08
Mass density, g/cm³: 4.716